Entry 1:
A geometry-optimized Dy2LuTh structure. Source: Alexandria via LeMat-Bulk, functional PBE.

Cell and atoms, written as CIF:
```
data_Dy2LuTh
_symmetry_space_group_name_H-M 'P 4/m m m'
_symmetry_Int_Tables_number 123
_symmetry_space_group_name_Hall '-P 4 2'
_cell_length_a 3.537
_cell_length_b 3.537
_cell_length_c 10.024
_cell_angle_alpha 90.00
_cell_angle_beta 90.00
_cell_angle_gamma 90.00
loop_
_atom_site_label
_atom_site_type_symbol
_atom_site_fract_x
_atom_site_fract_y
_atom_site_fract_z
Dy1 Dy 0.000 0.000 0.247
Lu1 Lu 0.500 0.500 0.500
Th1 Th 0.500 0.500 0.000
```

Values from the calculation:
Its crystal system is tetragonal. As for the formation energy: 3.23 kJ per mole of atoms. Its energy above the most stable polymorph in this dataset is 2.8 meV/atom.

---

Entry 2:
A geometry-optimized DyLuTh2 structure. Source: Alexandria via LeMat-Bulk, functional PBE.

Cell and atoms, written as CIF:
```
data_DyLuTh2
_symmetry_space_group_name_H-M 'P 4/m m m'
_symmetry_Int_Tables_number 123
_symmetry_space_group_name_Hall '-P 4 2'
_cell_length_a 5.012
_cell_length_b 5.012
_cell_length_c 5.005
_cell_angle_alpha 90.00
_cell_angle_beta 90.00
_cell_angle_gamma 90.00
loop_
_atom_site_label
_atom_site_type_symbol
_atom_site_fract_x
_atom_site_fract_y
_atom_site_fract_z
Dy1 Dy 0.000 0.000 0.000
Lu1 Lu 0.500 0.500 0.000
Th1 Th 0.000 0.500 0.500
```

Values from the calculation:
Its crystal system is tetragonal. As for the formation energy: 3.64 kJ per mole of atoms. Its energy above the most stable polymorph in this dataset is 0.0 meV/atom.

---

Entry 3:
A geometry-optimized DyLuThTi structure. Source: Alexandria via LeMat-Bulk, functional PBE.

Cell and atoms, written as CIF:
```
data_DyLuThTi
_symmetry_space_group_name_H-M 'F -4 3 m'
_symmetry_Int_Tables_number 216
_symmetry_space_group_name_Hall 'F -4 2 3'
_cell_length_a 7.601
_cell_length_b 7.601
_cell_length_c 7.601
_cell_angle_alpha 90.00
_cell_angle_beta 90.00
_cell_angle_gamma 90.00
loop_
_atom_site_label
_atom_site_type_symbol
_atom_site_fract_x
_atom_site_fract_y
_atom_site_fract_z
Dy1 Dy 0.000 0.000 0.000
Lu1 Lu 0.250 0.250 0.750
Th1 Th 0.000 0.000 0.500
Ti1 Ti 0.250 0.250 0.250
```

Values from the calculation:
Its crystal system is cubic. As for the formation energy: 19.81 kJ per mole of atoms.

---

Entry 4:
A geometry-optimized DyLuThZn structure. Source: Alexandria via LeMat-Bulk, functional PBE.

Cell and atoms, written as CIF:
```
data_DyLuThZn
_symmetry_space_group_name_H-M 'F -4 3 m'
_symmetry_Int_Tables_number 216
_symmetry_space_group_name_Hall 'F -4 2 3'
_cell_length_a 7.547
_cell_length_b 7.547
_cell_length_c 7.547
_cell_angle_alpha 90.00
_cell_angle_beta 90.00
_cell_angle_gamma 90.00
loop_
_atom_site_label
_atom_site_type_symbol
_atom_site_fract_x
_atom_site_fract_y
_atom_site_fract_z
Dy1 Dy 0.000 0.000 0.000
Lu1 Lu 0.250 0.250 0.250
Th1 Th 0.000 0.000 0.500
Zn1 Zn 0.250 0.250 0.750
```

Values from the calculation:
Its crystal system is cubic. As for the formation energy: 6.51 kJ per mole of atoms.

---

Entry 5:
A geometry-optimized DyLuThZr structure. Source: Alexandria via LeMat-Bulk, functional PBE.

Cell and atoms, written as CIF:
```
data_DyLuThZr
_symmetry_space_group_name_H-M 'F -4 3 m'
_symmetry_Int_Tables_number 216
_symmetry_space_group_name_Hall 'F -4 2 3'
_cell_length_a 7.709
_cell_length_b 7.709
_cell_length_c 7.709
_cell_angle_alpha 90.00
_cell_angle_beta 90.00
_cell_angle_gamma 90.00
loop_
_atom_site_label
_atom_site_type_symbol
_atom_site_fract_x
_atom_site_fract_y
_atom_site_fract_z
Dy1 Dy 0.000 0.000 0.000
Lu1 Lu 0.250 0.250 0.750
Th1 Th 0.000 0.000 0.500
Zr1 Zr 0.250 0.250 0.250
```

Values from the calculation:
Its crystal system is cubic. As for the formation energy: 14.27 kJ per mole of atoms.

---

Entry 6:
A geometry-optimized Dy2LuTi structure. Source: Alexandria via LeMat-Bulk, functional PBE.

Cell and atoms, written as CIF:
```
data_Dy2LuTi
_symmetry_space_group_name_H-M 'P 4/m m m'
_symmetry_Int_Tables_number 123
_symmetry_space_group_name_Hall '-P 4 2'
_cell_length_a 3.619
_cell_length_b 3.619
_cell_length_c 8.432
_cell_angle_alpha 90.00
_cell_angle_beta 90.00
_cell_angle_gamma 90.00
loop_
_atom_site_label
_atom_site_type_symbol
_atom_site_fract_x
_atom_site_fract_y
_atom_site_fract_z
Dy1 Dy 0.000 0.000 0.213
Lu1 Lu 0.500 0.500 0.500
Ti1 Ti 0.500 0.500 0.000
```

Values from the calculation:
Its crystal system is tetragonal. As for the formation energy: 17.81 kJ per mole of atoms.